Record 1
! LaBe4Ag | Alexandria | PBE | optimized geometry; values from VASP
&SYSTEM
  ibrav = 0, nat = 6, ntyp = 3
/
ATOMIC_SPECIES
La 138.91 La.upf
Be 9.01 Be.upf
Ag 107.87 Ag.upf
ATOMIC_POSITIONS angstrom
La -7.2999 4.6367 3.1642
Be -5.9410 2.0620 2.6872
Be -5.5201 3.9306 0.9198
Be -4.4038 4.0844 3.2699
Be -3.6014 2.2875 1.5611
Ag 0.0000 0.0000 0.0000
CELL_PARAMETERS angstrom
-4.4997 -0.4338 2.1658
-1.5433 3.4559 3.2865
-3.6903 3.1602 -1.2333
! **Spin magnetization**: 0.0001 μB/atom
! **Raw total energy**: -20.70 eV/cell
! **Crystal system**: cubic
! **N(E_F)**: 6.048 states/eV/cell
! **Density**: 5.27 g/cm³

***

Record 2
! HoErCdAg | Alexandria | PBE | optimized geometry; values from VASP
&SYSTEM
  ibrav = 0, nat = 4, ntyp = 4
/
ATOMIC_SPECIES
Cd 112.41 Cd.upf
Ho 164.93 Ho.upf
Ag 107.87 Ag.upf
Er 167.26 Er.upf
ATOMIC_POSITIONS angstrom
Cd 7.7783 4.4908 3.1755
Ho 5.1855 2.9939 2.1170
Ag 2.5928 1.4969 1.0585
Er 0.0000 0.0000 0.0000
CELL_PARAMETERS angstrom
5.1855 0.0000 0.0000
2.5928 4.4908 0.0000
2.5928 1.4969 4.2340
! **Spin magnetization**: 0.0002 μB/atom
! **Crystal system**: cubic
! **N(E_F)**: 3.880 states/eV/cell
! **Density**: 9.30 g/cm³
! **Relative energy among the computed polymorphs**: 11 meV per atom

***

Record 3
! TbNd2InN | Alexandria | PBE | optimized geometry; values from VASP
&SYSTEM
  ibrav = 0, nat = 5, ntyp = 4
/
ATOMIC_SPECIES
Tb 158.93 Tb.upf
Nd 144.24 Nd.upf
In 114.82 In.upf
N 14.01 N.upf
ATOMIC_POSITIONS angstrom
Tb -1.4028 0.3844 1.9429
Nd 0.9920 2.3037 0.2605
Nd 1.8029 -0.9447 1.4886
In 1.3921 1.7434 3.6920
N 0.0000 0.0000 0.0000
CELL_PARAMETERS angstrom
-2.8056 0.7688 3.8858
3.6058 -1.8894 2.9773
1.9840 4.6074 0.5210
! **Formation energy from raw total energies**: -4.5 eV per formula unit
! **Spin magnetization**: 0.0000 μB/atom
! **Crystal system**: tetragonal
! **N(E_F)**: 2.449 states/eV/cell
! **Density**: 7.75 g/cm³

***

Record 4
! EuP2Rh2 | Alexandria | PBE | optimized geometry; values from VASP
&SYSTEM
  ibrav = 0, nat = 5, ntyp = 3
/
ATOMIC_SPECIES
Eu 151.96 Eu.upf
P 30.97 P.upf
Rh 102.91 Rh.upf
ATOMIC_POSITIONS angstrom
Eu -1.3523 -0.0591 -3.8013
P 0.7805 -1.7678 -2.3945
P -1.1539 -3.6323 0.4649
Rh 1.0517 -3.0123 -0.3305
Rh -1.4252 -2.3878 -1.5990
CELL_PARAMETERS angstrom
-1.3524 -0.0590 -3.8013
3.6017 -1.3082 -1.2643
-2.6228 -4.0329 3.1359
! **Spin magnetization**: 1.3414 μB/atom
! **Raw total energy**: -40.73 eV/cell
! **Crystal system**: tetragonal
! **N(E_F)**: 4.677 states/eV/cell
! **Density**: 8.59 g/cm³

***

Record 5
! Li2YHgH | Alexandria | PBE | optimized geometry; values from VASP
&SYSTEM
  ibrav = 0, nat = 5, ntyp = 4
/
ATOMIC_SPECIES
Y 88.91 Y.upf
H 1.01 H.upf
Hg 200.59 Hg.upf
Li 6.94 Li.upf
ATOMIC_POSITIONS angstrom
Y 2.1383 1.0574 0.0462
H 0.0000 0.0000 0.0000
Hg 3.0261 -0.8341 2.2512
Li 0.9508 -1.9253 0.0582
Li -0.0631 0.0338 2.1468
CELL_PARAMETERS angstrom
-0.1261 0.0675 4.2937
1.9016 -3.8505 0.1164
4.2766 2.1148 0.0924
! **Spin magnetization**: 0.0000 μB/atom
! **Raw total energy**: -15.54 eV/cell
! **Crystal system**: tetragonal
! **N(E_F)**: 3.216 states/eV/cell
! **Density**: 5.74 g/cm³

***

Record 6
! GeTePtN2 | Alexandria | PBE | optimized geometry; values from VASP
&SYSTEM
  ibrav = 0, nat = 5, ntyp = 4
/
ATOMIC_SPECIES
Ge 72.64 Ge.upf
Te 127.60 Te.upf
Pt 195.08 Pt.upf
N 14.01 N.upf
ATOMIC_POSITIONS angstrom
Ge 0.0000 0.0000 0.0000
Te -1.1853 3.0938 2.1662
Pt -3.6748 2.5656 1.5584
N -1.3377 -1.0363 0.7481
N -1.1518 0.5081 -1.3558
CELL_PARAMETERS angstrom
-2.3035 1.0161 -2.7117
-2.6755 -2.0726 1.4961
-2.3706 6.1877 4.3325
! **Formation energy from raw total energies**: 6.1 eV per formula unit
! **Spin magnetization**: 0.0000 μB/atom
! **Crystal system**: tetragonal
! **N(E_F)**: 3.915 states/eV/cell
! **Density**: 6.49 g/cm³
! **Relative energy among the computed polymorphs**: 36 meV per atom

***

Record 7
! SbTe | Alexandria | PBE | optimized geometry; values from VASP
&SYSTEM
  ibrav = 0, nat = 4, ntyp = 2
/
ATOMIC_SPECIES
Sb 121.76 Sb.upf
Te 127.60 Te.upf
ATOMIC_POSITIONS angstrom
Sb 0.8007 -1.9854 -0.6970
Sb 0.2842 -5.4605 2.0861
Te 2.6814 -4.0823 0.6562
Te -1.5965 -3.3636 0.7330
CELL_PARAMETERS angstrom
-0.1223 -1.6225 5.2872
-2.8234 -3.2102 -1.0505
4.0306 -2.6132 -2.8476
! **Formation energy from raw total energies**: 0.0 eV per formula unit
! **Spin magnetization**: 0.0000 μB/atom
! **Crystal system**: monoclinic
! **N(E_F)**: 1.929 states/eV/cell
! **Density**: 6.54 g/cm³
! **Relative energy among the computed polymorphs**: 105 meV per atom

***

Record 8
! Li6Mg3Hg | Alexandria | PBE | optimized geometry; values from VASP
&SYSTEM
  ibrav = 0, nat = 20, ntyp = 3
/
ATOMIC_SPECIES
Li 6.94 Li.upf
Mg 24.30 Mg.upf
Hg 200.59 Hg.upf
ATOMIC_POSITIONS angstrom
Li -0.0379 -1.7866 3.0910
Li -7.9690 -1.7701 5.0555
Li -1.9885 -0.7596 1.1917
Li -6.0184 -2.7971 6.9548
Li -5.1171 -0.3193 5.7291
Li -2.8897 -3.2375 2.4174
Li -4.5208 0.0039 2.3057
Li -3.4860 -3.5607 5.8408
Li -0.7060 -2.0772 6.4766
Li -7.3009 -1.4796 1.6699
Li -9.0674 1.7753 1.7895
Li 1.0605 -5.3321 6.3570
Mg -2.5812 -1.0636 4.4856
Mg -5.4256 -2.4932 3.6609
Mg -7.0376 0.7201 3.6813
Mg -0.9693 -4.2769 4.4652
Mg 1.8994 -2.8133 5.0196
Mg -9.9062 -0.7435 3.1269
Hg -3.2834 -1.2949 7.5781
Hg -4.7235 -2.2619 0.5683
CELL_PARAMETERS angstrom
-1.6720 -4.5001 -0.7161
3.3433 -2.3547 6.9906
-9.6783 3.2980 1.8720
! **Spin magnetization**: 0.0000 μB/atom
! **Crystal system**: monoclinic
! **N(E_F)**: 9.027 states/eV/cell
! **Density**: 2.70 g/cm³
! **Relative energy among the computed polymorphs**: 0 meV per atom

***

Record 9
! YHo6Sc8 | Alexandria | PBE | optimized geometry; values from VASP
&SYSTEM
  ibrav = 0, nat = 15, ntyp = 3
/
ATOMIC_SPECIES
Y 88.91 Y.upf
Ho 164.93 Ho.upf
Sc 44.96 Sc.upf
ATOMIC_POSITIONS angstrom
Y -1.0608 -2.5909 0.7919
Ho 3.5502 -5.2803 2.4315
Ho 3.8697 -4.3461 5.9160
Ho 0.8026 -3.6377 4.1252
Ho -1.4991 0.8610 7.2369
Ho -1.8186 -0.0731 3.7525
Ho 1.2485 -0.7815 5.5433
Sc -2.5357 -3.2971 3.2839
Sc 1.0850 -3.5003 7.4693
Sc -3.9052 -1.2238 8.2330
Sc 4.5868 -1.1221 6.3846
Sc 0.9661 -0.9189 2.1992
Sc 5.9563 -3.1954 1.4354
Sc -1.7744 -2.6471 6.3206
Sc 3.8255 -1.7721 3.3479
CELL_PARAMETERS angstrom
-2.1215 -5.1818 1.5837
8.5010 -3.1549 1.0652
-4.3284 3.9175 7.0195
! **Spin magnetization**: 0.0000 μB/atom
! **Crystal system**: trigonal
! **N(E_F)**: 23.501 states/eV/cell
! **Density**: 5.69 g/cm³
! **Relative energy among the computed polymorphs**: 34 meV per atom

***

Record 10
! LiPrTmRu | Alexandria | PBE | optimized geometry; values from VASP
&SYSTEM
  ibrav = 0, nat = 4, ntyp = 4
/
ATOMIC_SPECIES
Pr 140.91 Pr.upf
Ru 101.07 Ru.upf
Tm 168.93 Tm.upf
Li 6.94 Li.upf
ATOMIC_POSITIONS angstrom
Pr 0.0000 0.0000 0.0000
Ru -1.5139 -6.6922 -6.0514
Tm -1.0092 -4.4615 -4.0343
Li -0.5046 -2.2307 -2.0171
CELL_PARAMETERS angstrom
-3.4735 -2.3242 -2.7078
1.1115 -1.6977 -4.5477
0.3435 -4.9011 -0.8130
! **Spin magnetization**: 0.0000 μB/atom
! **Raw total energy**: -21.26 eV/cell
! **Crystal system**: cubic
! **N(E_F)**: 2.336 states/eV/cell
! **Density**: 7.95 g/cm³

***

Record 11
! HfNiTe4 | Alexandria | PBE | optimized geometry; values from VASP
&SYSTEM
  ibrav = 0, nat = 6, ntyp = 3
/
ATOMIC_SPECIES
Hf 178.49 Hf.upf
Ni 58.69 Ni.upf
Te 127.60 Te.upf
ATOMIC_POSITIONS angstrom
Hf -1.4766 3.6598 0.0284
Ni 0.0000 0.0000 0.0000
Te -1.9548 1.3837 1.7465
Te -5.1828 -0.2493 0.4908
Te -3.0810 5.3563 1.7065
Te -4.4533 2.3393 3.6243
CELL_PARAMETERS angstrom
-1.8557 1.3841 -3.1735
-5.3106 -2.2125 2.1404
-1.0975 5.9354 3.2304
! **Formation energy from raw total energies**: -2.3 eV per formula unit
! **Spin magnetization**: 0.0000 μB/atom
! **Crystal system**: monoclinic
! **N(E_F)**: 3.234 states/eV/cell
! **Density**: 7.52 g/cm³

***

Record 12
! Pa2TaGa2Ru5 | Alexandria | PBE | optimized geometry; values from VASP
&SYSTEM
  ibrav = 0, nat = 20, ntyp = 4
/
ATOMIC_SPECIES
Pa 231.04 Pa.upf
Ta 180.95 Ta.upf
Ga 69.72 Ga.upf
Ru 101.07 Ru.upf
ATOMIC_POSITIONS angstrom
Pa 3.6940 -5.3298 2.5208
Pa 6.1709 0.4743 6.4116
Pa 2.6134 -0.2012 2.6210
Pa 7.2515 -4.6544 6.3114
Ta 0.0000 0.0000 0.0000
Ta 4.9325 -2.4278 4.4662
Ga 4.1704 1.4589 4.6002
Ga 5.6945 -6.3145 4.3323
Ga 7.6379 -1.9960 7.3297
Ga 2.2270 -2.8595 1.6028
Ru 0.0312 -1.7779 2.1024
Ru 7.4118 -3.6342 9.2022
Ru 3.7872 2.3446 6.9045
Ru 4.0821 -4.8238 5.5235
Ru 3.6558 -7.7567 4.4001
Ru 3.3609 -0.5883 5.7810
Ru 5.2047 -2.5478 7.2037
Ru 2.2384 -2.8643 4.1009
Ru 0.7789 -4.7694 2.1638
Ru 1.7317 1.7850 4.6745
CELL_PARAMETERS angstrom
-2.4219 -0.5566 2.3721
3.9797 -8.9821 1.9556
5.8852 4.1266 6.9769
! **Spin magnetization**: 0.0000 μB/atom
! **Raw total energy**: -174.57 eV/cell
! **Crystal system**: tetragonal
! **N(E_F)**: 12.310 states/eV/cell
! **Density**: 12.41 g/cm³